Entry 1:
An optimized crystal structure of Li2WSe. Source: Alexandria via LeMat-Bulk, functional PBEsol.

Cell: 4.7249 4.7249 4.7249 Å, 135.02 135.02 65.50°
Atoms (fractional coordinates):
Li  0.0000  0.0000  0.0000
Li  0.7500  0.2500  0.5000
W  0.5000  0.5000  0.0000
Se  0.2500  0.7500  0.5000

Values from the calculation:
The formation energy (no corrections) is 0.152 eV/atom. Its crystal system is tetragonal. The energy comes out at -5.2462 eV/atom. As for the symmetry: I-4m2.

Entry 2:
An optimized crystal structure of Li2WSe. Source: Alexandria via LeMat-Bulk, functional PBEsol.

Cell: 5.2071 5.2071 2.6681 Å, 90.00 90.00 122.39°
Atoms (fractional coordinates):
Li  0.0000  0.5000  0.0000
Li  0.5000  0.0000  0.0000
W  0.0000  0.0000  0.5000
Se  0.5000  0.5000  0.5000

Values from the calculation:
The formation energy (no corrections) is 0.190 eV/atom. Its crystal system is orthorhombic. The energy comes out at -5.2075 eV/atom. As for the symmetry: Cmmm.

Entry 3:
An optimized crystal structure of Li2W2Se. Source: Alexandria via LeMat-Bulk, functional PBEsol.

Cell: 7.1141 7.1141 7.1141 Å, 150.96 150.96 41.54°
Atoms (fractional coordinates):
Li  0.0826  0.0826  0.0000
Li  0.9174  0.9174  0.0000
W  0.2500  0.7500  0.5000
W  0.7500  0.2500  0.5000
Se  0.5000  0.5000  0.0000

Values from the calculation:
The formation energy (no corrections) is 0.616 eV/atom. Its crystal system is tetragonal. The energy comes out at -6.4638 eV/atom. As for the symmetry: I4/mmm.

Entry 4:
An optimized crystal structure of LiWSe2. Source: Alexandria via LeMat-Bulk, functional PBEsol.

Cell: 5.5361 5.5361 5.5361 Å, 141.58 141.58 55.46°
Atoms (fractional coordinates):
Li  0.0000  0.0000  0.0000
W  0.2500  0.7500  0.5000
Se  0.5000  0.5000  0.0000
Se  0.7500  0.2500  0.5000

Values from the calculation:
The formation energy (no corrections) is 0.267 eV/atom. Its crystal system is tetragonal. The energy comes out at -5.6019 eV/atom. As for the symmetry: I-4m2. As for the energy above the most stable polymorph in this dataset: 0.629 eV/atom.